Entry from the Alexandria database: a relaxed InMoOs crystal (PBE-GGA).

Output
For the relative energy among the computed polymorphs, the calculation gives 295 meV per atom. The calculation puts the raw total energy at -23.36 eV per cell. The calculated formation energy comes out at 46 kJ/mol of atoms. The density of states at the Fermi level is 1.92 states/eV/f.u.

```
InMoOs
1.0
0.000 2.412 6.995
1.522 0.000 6.995
1.522 2.412 0.000
In Mo Os
1 1 1
Direct
0.000 0.000 0.000
0.323 0.323 0.677
0.673 0.673 0.327
```



Entry from the Alexandria database: a relaxed MnCo crystal (PBE-GGA).

Output
The calculation puts the raw total energy at -79.16 eV per cell. The calculated formation energy comes out at 149 kJ/mol of atoms. The density of states at the Fermi level is 2.74 states/eV/f.u.

```
MnCo
1.0
6.071 0.000 0.000
0.000 6.071 0.000
0.000 0.000 6.071
Mn Co
6 6
Direct
0.000 0.250 0.500
0.000 0.750 0.500
0.250 0.500 0.000
0.500 0.000 0.250
0.500 0.000 0.750
0.750 0.500 0.000
0.000 0.500 0.250
0.000 0.500 0.750
0.250 0.000 0.500
0.500 0.250 0.000
0.500 0.750 0.000
0.750 0.000 0.500
```



Entry from the Alexandria database: a relaxed La2AsRhO crystal (PBE-GGA).

Output
The uncorrected formation energy is -1.48 eV/atom. The calculation puts the raw total energy at -34.24 eV per cell. The density of states at the Fermi level is 1.62 states/eV/f.u.

```
La2AsRhO
1.0
5.053 0.000 0.000
0.000 5.053 0.000
0.000 0.000 4.107
La As Rh O
2 1 1 1
Direct
0.000 0.500 0.000
0.500 0.000 0.000
0.000 0.000 0.500
0.500 0.500 0.500
0.500 0.500 0.000
```



Entry from the Alexandria database: a relaxed CrNi2Pd5 crystal (PBE-GGA).

Output
The calculation puts the raw total energy at -94.11 eV per cell. The calculated formation energy comes out at 1 kJ/mol of atoms. The density of states at the Fermi level is 14.96 states/eV/f.u.

```
CrNi2Pd5
1.0
5.408 0.000 0.000
0.000 10.786 0.000
0.000 0.000 3.872
Cr Ni Pd
2 4 10
Direct
0.000 0.000 0.000
0.500 0.500 0.000
0.234 0.374 0.500
0.266 0.874 0.500
0.734 0.126 0.500
0.766 0.626 0.500
0.000 0.500 0.000
0.027 0.757 0.000
0.229 0.119 0.500
0.271 0.619 0.500
0.473 0.257 0.000
0.500 0.000 0.000
0.527 0.743 0.000
0.729 0.381 0.500
0.771 0.881 0.500
0.973 0.243 0.000
```



Entry from the Alexandria database: a relaxed Tb4Y5Er2 crystal (PBE-GGA).

Output
For the relative energy among the computed polymorphs, the calculation gives 0 meV per atom. The calculation puts the raw total energy at -59.74 eV per cell. The calculated formation energy comes out at 2 kJ/mol of atoms. The density of states at the Fermi level is 15.21 states/eV/f.u.

```
Tb4Y5Er2
1.0
3.550 0.000 0.000
0.003 8.711 0.000
1.766 2.871 11.305
Tb Y Er
4 5 2
Direct
0.045 0.365 0.409
0.318 0.546 0.863
0.682 0.454 0.137
0.955 0.635 0.591
0.136 0.090 0.227
0.226 0.817 0.048
0.500 0.000 0.500
0.774 0.183 0.952
0.864 0.910 0.773
0.410 0.274 0.680
0.590 0.726 0.320
```



Entry from the Alexandria database: a relaxed AgHIrPd2 crystal (PBE-GGA).

Output
The calculation puts the raw total energy at -24.57 eV per cell. The density of states at the Fermi level is 4.93 states/eV/f.u.

```
AgHIrPd2
1.0
4.155 0.000 0.000
0.000 4.155 0.000
0.000 0.000 3.798
Ag H Ir Pd
1 1 1 2
Direct
0.000 0.000 0.000
0.500 0.500 0.500
0.500 0.500 0.000
0.000 0.500 0.500
0.500 0.000 0.500
```



Entry from the Alexandria database: a relaxed PuUGaPd crystal (PBE-GGA).

Output
The calculation puts the raw total energy at -34.93 eV per cell. The calculated formation energy comes out at -26 kJ/mol of atoms. The density of states at the Fermi level is 5.40 states/eV/f.u.

```
PuUGaPd
1.0
0.000 3.413 3.413
3.413 0.000 3.413
3.413 3.413 0.000
Pu U Ga Pd
1 1 1 1
Direct
0.000 0.000 0.000
0.250 0.250 0.250
0.750 0.750 0.750
0.500 0.500 0.500
```



Entry from the Alexandria database: a relaxed AgAsCl2 crystal (PBE-GGA).

Output
The uncorrected formation energy is 0.09 eV/atom. For the relative energy among the computed polymorphs, the calculation gives 378 meV per atom. The calculation puts the raw total energy at -10.84 eV per cell. The density of states at the Fermi level is 1.63 states/eV/f.u.

```
AgAsCl2
1.0
3.320 0.000 0.000
0.000 4.202 0.000
0.000 0.000 6.752
Ag As Cl
1 1 2
Direct
0.000 0.000 0.000
0.500 0.000 0.500
0.000 0.500 0.500
0.500 0.500 0.000
```



Entry from the Alexandria database: a relaxed CaCe12Os6 crystal (PBE-GGA).

Output
The calculation puts the raw total energy at -141.33 eV per cell. The calculated formation energy comes out at -4 kJ/mol of atoms. The density of states at the Fermi level is 44.57 states/eV/f.u.

```
CaCe12Os6
1.0
6.736 3.889 3.291
-6.736 3.889 3.291
0.000 -7.778 3.291
Ca Ce Os
1 12 6
Direct
0.000 0.000 0.000
0.124 0.500 0.876
0.124 0.876 0.500
0.173 0.447 0.447
0.447 0.173 0.447
0.447 0.447 0.173
0.500 0.124 0.876
0.500 0.876 0.124
0.553 0.553 0.827
0.553 0.827 0.553
0.827 0.553 0.553
0.876 0.124 0.500
0.876 0.500 0.124
0.247 0.247 0.680
0.247 0.680 0.247
0.320 0.753 0.753
0.680 0.247 0.247
0.753 0.320 0.753
0.753 0.753 0.320
```



Entry from the Alexandria database: a relaxed TbLuAlFe crystal (PBE-GGA).

Output
The calculation puts the raw total energy at -21.71 eV per cell. The calculated formation energy comes out at -8 kJ/mol of atoms. The density of states at the Fermi level is 7.15 states/eV/f.u.

```
TbLuAlFe
1.0
0.000 3.484 3.484
3.484 0.000 3.484
3.484 3.484 0.000
Tb Lu Al Fe
1 1 1 1
Direct
0.000 0.000 0.000
0.500 0.500 0.500
0.250 0.250 0.250
0.750 0.750 0.750
```



What is the raw total energy in the sixth record?
-24.57 eV per cell